Entry 1:
A relaxed structure of Sn2Hg7Pb3. Source: Alexandria, functional PBE-GGA.

## Properties
Calculated density in Mg/m³: 11.11
Formation enthalpy at 0 K in eV per formula unit: 0.56

Structure (CIF):
```
data_Sn2Hg7Pb3
_chemical_formula_sum 'Sn2 Hg7 Pb3'
_space_group_name_H-M_alt 'P 1 2/m 1'
_space_group_IT_number 10
_space_group_name_Hall '-P 2y'
_cell_length_a 5.7954
_cell_length_b 3.3601
_cell_length_c 17.4340
_cell_angle_alpha 90.00
_cell_angle_beta 95.16
_cell_angle_gamma 90.00
loop_
_atom_site_label
_atom_site_type_symbol
_atom_site_fract_x
_atom_site_fract_y
_atom_site_fract_z
_atom_site_occupancy
Sn1 Sn 0.1511 0.0000 0.3041 1
Hg1 Hg 0.0000 0.5000 0.0000 1
Hg2 Hg 0.1082 0.0000 0.8509 1
Hg3 Hg 0.2425 0.0000 0.4766 1
Hg4 Hg 0.4195 0.5000 0.1679 1
Pb1 Pb 0.3276 0.5000 0.6446 1
Pb2 Pb 0.5000 0.0000 0.0000 1
```

---

Entry 2:
A relaxed structure of HfVSn. Source: Alexandria, functional PBE-GGA.

## Properties
Calculated density in Mg/m³: 10.08
Formation enthalpy at 0 K in eV per formula unit: -0.34

Structure (CIF):
```
data_HfVSn
_chemical_formula_sum 'Hf2 V2 Sn2'
_space_group_name_H-M_alt 'I 4 m m'
_space_group_IT_number 107
_space_group_name_Hall 'I 4 -2'
_cell_length_a 3.5152
_cell_length_b 3.5152
_cell_length_c 9.2867
_cell_angle_alpha 90.00
_cell_angle_beta 90.00
_cell_angle_gamma 90.00
loop_
_atom_site_label
_atom_site_type_symbol
_atom_site_fract_x
_atom_site_fract_y
_atom_site_fract_z
_atom_site_occupancy
Hf1 Hf 0.0000 0.0000 0.0000 1
V1 V 0.0000 0.0000 0.6595 1
Sn1 Sn 0.0000 0.0000 0.3167 1
```

---

Entry 3:
A relaxed structure of HoGaSi. Source: Alexandria, functional PBE-GGA.

## Properties
ΔE_f (raw) in eV per formula unit: -1.9
Calculated density in Mg/m³: 7.39

Structure (CIF):
```
data_HoGaSi
_chemical_formula_sum 'Ho4 Ga4 Si4'
_space_group_name_H-M_alt 'C 1 2/m 1'
_space_group_IT_number 12
_space_group_name_Hall '-C 2y'
_cell_length_a 14.7067
_cell_length_b 4.1334
_cell_length_c 4.0384
_cell_angle_alpha 90.00
_cell_angle_beta 105.83
_cell_angle_gamma 90.00
loop_
_atom_site_label
_atom_site_type_symbol
_atom_site_fract_x
_atom_site_fract_y
_atom_site_fract_z
_atom_site_occupancy
Ho1 Ho 0.1155 0.0000 0.3721 1
Ga1 Ga 0.2095 0.5000 0.0131 1
Si1 Si 0.0424 0.5000 0.7923 1
```

---

Entry 4:
A relaxed structure of BaScFe2Mo. Source: Alexandria, functional PBE-GGA.

## Properties
Calculated density in Mg/m³: 5.88
Formation enthalpy at 0 K in eV per formula unit: 4.22

Structure (CIF):
```
data_BaScFe2Mo
_chemical_formula_sum 'Ba1 Sc1 Fe2 Mo1'
_space_group_name_H-M_alt 'P 4/m m m'
_space_group_IT_number 123
_space_group_name_Hall '-P 4 2'
_cell_length_a 4.6944
_cell_length_b 4.6944
_cell_length_c 5.0001
_cell_angle_alpha 90.00
_cell_angle_beta 90.00
_cell_angle_gamma 90.00
loop_
_atom_site_label
_atom_site_type_symbol
_atom_site_fract_x
_atom_site_fract_y
_atom_site_fract_z
_atom_site_occupancy
Ba1 Ba 0.0000 0.0000 0.0000 1
Sc1 Sc 0.5000 0.5000 0.0000 1
Fe1 Fe 0.0000 0.5000 0.5000 1
Mo1 Mo 0.5000 0.5000 0.5000 1
```

---

Entry 5:
A relaxed structure of Sc2CuW. Source: Alexandria, functional PBE-GGA.

## Properties
Calculated density in Mg/m³: 7.68
Energy above the most stable polymorph in this dataset in meV per atom: 184
Formation enthalpy at 0 K in eV per formula unit: 1.00

Structure (CIF):
```
data_Sc2CuW
_chemical_formula_sum 'Sc6 Cu3 W3'
_space_group_name_H-M_alt 'R -3 m'
_space_group_IT_number 166
_space_group_name_Hall '-R 3 2"'
_cell_length_a 3.0251
_cell_length_b 3.0251
_cell_length_c 27.6185
_cell_angle_alpha 90.00
_cell_angle_beta 90.00
_cell_angle_gamma 120.00
loop_
_atom_site_label
_atom_site_type_symbol
_atom_site_fract_x
_atom_site_fract_y
_atom_site_fract_z
_atom_site_occupancy
Sc1 Sc 0.0000 0.0000 0.2478 1
Cu1 Cu 0.0000 0.0000 0.5000 1
W1 W 0.0000 0.0000 0.0000 1
```

---

Entry 6:
A relaxed structure of Er2BiOsO8. Source: Alexandria, functional PBE-GGA.

## Properties
ΔE_f (raw) in eV per formula unit: -25.2
Calculated density in Mg/m³: 8.38

Structure (CIF):
```
data_Er2BiOsO8
_chemical_formula_sum 'Er4 Bi2 Os2 O16'
_space_group_name_H-M_alt 'C m m m'
_space_group_IT_number 65
_space_group_name_Hall '-C 2 2'
_cell_length_a 7.0565
_cell_length_b 7.1082
_cell_length_c 6.8113
_cell_angle_alpha 90.00
_cell_angle_beta 90.00
_cell_angle_gamma 90.00
loop_
_atom_site_label
_atom_site_type_symbol
_atom_site_fract_x
_atom_site_fract_y
_atom_site_fract_z
_atom_site_occupancy
Er1 Er 0.0000 0.0000 0.2502 1
Bi1 Bi 0.0000 0.5000 0.0000 1
Os1 Os 0.0000 0.5000 0.5000 1
O1 O 0.0000 0.3161 0.2901 1
O2 O 0.1861 0.0000 0.0000 1
O3 O 0.2308 0.0000 0.5000 1
```

---

> Look up the calculated density of the fourth one.

5.88 Mg/m³